First-principles (PBE-GGA) data for a geometry-optimized CsTiBr2Cl structure, as listed in Alexandria.

Calculated values
ΔE_f (raw) = -1.398 eV per atom
Fermi-level density of states = 0.883 states/eV/atom

Cell: 5.4824 5.4824 5.0350 Å, 90.00 90.00 90.00°
Last column: nearest neighbours and their distance in Å.
Positions (direct):
Cs  0.5000  0.5000  0.5000  8 Br 3.72, 4 Cl 3.88
Cl  0.0000  0.0000  0.5000  2 Ti 2.52
Br  0.0000  0.5000  0.0000  2 Ti 2.74
Br  0.5000  0.0000  0.0000  2 Ti 2.74
Ti  0.0000  0.0000  0.0000  2 Cl 2.52, 4 Br 2.74

=====

First-principles (PBE-GGA) data for a geometry-optimized RbPa3Si4N12 structure, as listed in Alexandria.

Calculated values
ΔE_f (raw) = -0.596 eV per atom
Fermi-level density of states = 0.424 states/eV/atom

Cell: 7.1366 7.1366 7.1366 Å, 104.16 104.16 104.16°
Last column: nearest neighbours and their distance in Å.
Positions (direct):
Rb  0.0000  0.0000  0.0000  6 N 2.91
Pa  0.5499  0.4501  0.0000  6 N 2.19-2.33
Pa  0.4501  0.0000  0.5499  6 N 2.19-2.33
Pa  0.0000  0.5499  0.4501  6 N 2.19-2.33
Si  0.9528  0.0472  0.5000  3 N 1.66-1.68
Si  0.0472  0.5000  0.9528  3 N 1.66-1.68
Si  0.5000  0.9528  0.0472  3 N 1.66-1.68
Si  0.5000  0.5000  0.5000  3 N 1.69
N  0.5000  0.3499  0.6501  1 Si 1.69
N  0.8984  0.5000  0.1016  1 Si 1.68
N  0.1016  0.8984  0.5000  1 Si 1.68
N  0.5000  0.1016  0.8984  1 Si 1.68
N  0.3884  0.9767  0.2269  1 Si 1.66
N  0.2269  0.3884  0.9767  1 Si 1.66
N  0.9767  0.2269  0.3884  1 Si 1.66
N  0.6116  0.7731  0.0233  1 Si 1.66
N  0.0233  0.6116  0.7731  1 Si 1.66
N  0.7731  0.0233  0.6116  1 Si 1.66
N  0.6501  0.5000  0.3499  1 Si 1.69
N  0.3499  0.6501  0.5000  1 Si 1.69

=====

First-principles (PBE-GGA) data for a geometry-optimized ZrRuI2 structure, as listed in Alexandria.

Calculated values
ΔE_f (raw) = 0.406 eV per atom
Relative energy among the computed polymorphs = 0 meV per atom
Fermi-level density of states = 0.765 states/eV/atom

Cell: 4.9508 4.9508 4.9508 Å, 60.00 60.00 60.00°
Last column: nearest neighbours and their distance in Å.
Positions (direct):
I  0.2500  0.2500  0.2500  4 Ru 3.03, 4 Zr 3.03
I  0.7500  0.7500  0.7500  4 Zr 3.03, 4 Ru 3.03
Ru  0.5000  0.5000  0.5000  8 I 3.03
Zr  0.0000  0.0000  0.0000  8 I 3.03

=====

First-principles (PBE-GGA) data for a geometry-optimized CsTiMnNb2 structure, as listed in Alexandria.

Calculated values
Energy relative to the elements = 12.9 eV per formula unit
Fermi-level density of states = 1.074 states/eV/atom

Cell: 5.0595 4.6616 5.0595 Å, 90.00 90.00 90.00°
Last column: nearest neighbours and their distance in Å.
Positions (direct):
Cs  0.0000  0.0000  0.0000  2 Mn 2.33, 4 Nb 2.53
Nb  0.0000  0.0000  0.5000  2 Cs 2.53
Nb  0.5000  0.0000  0.0000  2 Cs 2.53
Mn  0.0000  0.5000  0.0000  2 Cs 2.33
Ti  0.5000  0.5000  0.5000  8 Nb 3.44, 4 Mn 3.58